## P
{
  "formula": "Cd2Te",
  "functional": "meta-GGA SCAN",
  "state": "single point on PBEsol structure",
  "cell": [[4.133, 0.000, 0.000], [0.000, 4.133, 0.000], [0.000, 0.000, 5.874]],
  "species": ["Cd", "Cd", "Te"],
  "frac_coords": [[0.000, 0.000, 0.000], [0.500, 0.500, 0.500], [0.000, 0.000, 0.500]],
  "spacegroup": "No. 123"
}

## Q
{
  "formula": "Cd2Te",
  "functional": "meta-GGA SCAN",
  "state": "single point on PBEsol structure",
  "cell": [[4.189, 0.000, 0.000], [-2.095, 3.628, 0.000], [0.000, 0.000, 10.470]],
  "species": ["Cd", "Cd", "Cd", "Cd", "Te", "Te"],
  "frac_coords": [[0.333, 0.667, 0.083], [0.333, 0.667, 0.417], [0.667, 0.333, 0.583], [0.667, 0.333, 0.917], [0.000, 0.000, 0.250], [0.000, 0.000, 0.750]],
  "spacegroup": "No. 194"
}

Which is less stable than every other structure shown? P is.